TbTm6Tl6: optimized geometry, GGA-PBE.

Cell lengths 6.3735, 6.3735, 10.4311 Å; angles 90.00, 90.00, 120.00 degrees
Last column: nearest neighbours and their distance in Å.
Positions (direct):
Tb: 0.0000 0.0000 0.0000  8 Tm 3.54-3.68
Tm: 0.0000 0.0000 0.6611  6 Tl 3.33, 1 Tm 3.36, 1 Tb 3.54
Tm: 0.0000 0.0000 0.3389  6 Tl 3.33, 1 Tm 3.36, 1 Tb 3.54
Tm: 0.3333 0.6667 0.0000  6 Tl 3.16
Tm: 0.6667 0.3333 0.0000  6 Tl 3.16
Tm: 0.3334 0.6666 0.5000  6 Tl 3.23
Tm: 0.6666 0.3334 0.5000  6 Tl 3.23
Tl: 0.0000 0.5000 0.7542  6 Tm 3.16-3.33, 4 Tl 3.19
Tl: 0.5000 0.0000 0.7542  6 Tm 3.16-3.33, 4 Tl 3.19
Tl: 0.5000 0.5000 0.7542  6 Tm 3.16-3.33, 4 Tl 3.19
Tl: 0.5000 0.0000 0.2458  6 Tm 3.16-3.33, 4 Tl 3.19
Tl: 0.0000 0.5000 0.2458  6 Tm 3.16-3.33, 4 Tl 3.19
Tl: 0.5000 0.5000 0.2458  6 Tm 3.16-3.33, 4 Tl 3.19

Properties
DOS at the Fermi energy   10.9 states/eV per cell
Spin magnetization   1.034 μB per formula unit
Calculated volume   366.9 Å³ per cell
Formation energy from the elements   -0.143 eV per atom
Symmetry   P6/mmm (191)
Uncorrected energy   -3.655 eV/atom


Tb2TmTl9: optimized geometry, GGA-PBE.

Cell lengths 4.7637, 4.7637, 14.2923 Å; angles 90.00, 90.00, 90.00 degrees
Last column: nearest neighbours and their distance in Å.
Positions (direct):
Tb: 0.0000 0.0000 0.3333  12 Tl 3.37-3.38
Tb: 0.0000 0.0000 0.6667  12 Tl 3.37-3.38
Tm: 0.0000 0.0000 0.0000  12 Tl 3.35-3.37
Tl: 0.5000 0.5000 0.0000  8 Tl 3.35, 4 Tm 3.37
Tl: 0.5000 0.5000 0.3328  4 Tb 3.37, 8 Tl 3.37-3.38
Tl: 0.5000 0.5000 0.6672  4 Tb 3.37, 8 Tl 3.37-3.38
Tl: 0.5000 0.0000 0.1653  8 Tl 3.35-3.38, 2 Tm 3.35, 2 Tb 3.38
Tl: 0.5000 0.0000 0.5000  8 Tl 3.37, 4 Tb 3.37
Tl: 0.5000 0.0000 0.8347  8 Tl 3.35-3.38, 2 Tm 3.35, 2 Tb 3.38
Tl: 0.0000 0.5000 0.1653  8 Tl 3.35-3.38, 2 Tm 3.35, 2 Tb 3.38
Tl: 0.0000 0.5000 0.5000  8 Tl 3.37, 4 Tb 3.37
Tl: 0.0000 0.5000 0.8347  8 Tl 3.35-3.38, 2 Tm 3.35, 2 Tb 3.38

Properties
DOS at the Fermi energy   2.8 states/eV per cell
Spin magnetization   0.000 μB per formula unit
Calculated volume   324.3 Å³ per cell
Formation energy from the elements   -0.228 eV per atom
Symmetry   P4/mmm (123)
Uncorrected energy   -3.147 eV/atom


TbTm2Tl9: optimized geometry, GGA-PBE.

Cell lengths 4.7559, 4.7559, 14.2614 Å; angles 90.00, 90.00, 90.00 degrees
Last column: nearest neighbours and their distance in Å.
Positions (direct):
Tb: 0.0000 0.0000 0.0000  12 Tl 3.36-3.38
Tm: 0.0000 0.0000 0.3333  12 Tl 3.35-3.36
Tm: 0.0000 0.0000 0.6667  12 Tl 3.35-3.36
Tl: 0.5000 0.5000 0.0000  4 Tb 3.36, 8 Tl 3.38
Tl: 0.5000 0.5000 0.3338  8 Tl 3.35-3.36, 4 Tm 3.36
Tl: 0.5000 0.5000 0.6662  8 Tl 3.35-3.36, 4 Tm 3.36
Tl: 0.5000 0.0000 0.1681  2 Tm 3.35, 8 Tl 3.35-3.38, 2 Tb 3.38
Tl: 0.5000 0.0000 0.5000  8 Tl 3.36, 4 Tm 3.36
Tl: 0.5000 0.0000 0.8319  2 Tm 3.35, 8 Tl 3.35-3.38, 2 Tb 3.38
Tl: 0.0000 0.5000 0.1681  2 Tm 3.35, 8 Tl 3.35-3.38, 2 Tb 3.38
Tl: 0.0000 0.5000 0.5000  8 Tl 3.36, 4 Tm 3.36
Tl: 0.0000 0.5000 0.8319  2 Tm 3.35, 8 Tl 3.35-3.38, 2 Tb 3.38

Properties
DOS at the Fermi energy   2.6 states/eV per cell
Spin magnetization   0.000 μB per formula unit
Calculated volume   322.6 Å³ per cell
Formation energy from the elements   -0.204 eV per atom
Symmetry   P4/mmm (123)
Uncorrected energy   -3.110 eV/atom


Tb3Tm3Tl2: optimized geometry, GGA-PBE.

Cell lengths 5.1609, 6.4874, 15.6663 Å; angles 90.00, 90.00, 113.44 degrees
Last column: nearest neighbours and their distance in Å.
Positions (direct):
Tb: 0.6396 0.2793 0.4708  3 Tl 3.15-3.27, 1 Tb 3.45, 2 Tm 3.52
Tb: 0.3604 0.7207 0.9708  3 Tl 3.15-3.27, 1 Tb 3.45, 2 Tm 3.52
Tb: 0.6396 0.2793 0.0292  3 Tl 3.15-3.27, 1 Tb 3.45, 2 Tm 3.52
Tb: 0.3604 0.7207 0.5292  3 Tl 3.15-3.27, 1 Tb 3.45, 2 Tm 3.52
Tb: 0.4621 0.9241 0.2500  2 Tl 3.34, 7 Tm 3.38-3.64
Tb: 0.5379 0.0759 0.7500  2 Tl 3.34, 7 Tm 3.38-3.64
Tm: 0.9604 0.9207 0.3967  1 Tl 3.15, 2 Tm 3.37-3.43, 4 Tb 3.46-3.52
Tm: 0.0396 0.0793 0.8967  1 Tl 3.15, 2 Tm 3.37-3.43, 4 Tb 3.46-3.52
Tm: 0.9604 0.9207 0.1033  1 Tl 3.15, 2 Tm 3.37-3.43, 4 Tb 3.46-3.52
Tm: 0.0396 0.0793 0.6033  1 Tl 3.15, 2 Tm 3.37-3.43, 4 Tb 3.46-3.52
Tm: 0.7463 0.4925 0.2500  4 Tl 3.10, 1 Tb 3.38, 2 Tm 3.43
Tm: 0.2537 0.5075 0.7500  4 Tl 3.10, 1 Tb 3.38, 2 Tm 3.43
Tl: 0.7796 0.5593 0.8582  3 Tm 3.10-3.15, 4 Tb 3.15-3.34, 1 Tl 3.39
Tl: 0.2204 0.4407 0.3582  3 Tm 3.10-3.15, 4 Tb 3.15-3.34, 1 Tl 3.39
Tl: 0.7796 0.5593 0.6418  3 Tm 3.10-3.15, 4 Tb 3.15-3.34, 1 Tl 3.39
Tl: 0.2204 0.4407 0.1418  3 Tm 3.10-3.15, 4 Tb 3.15-3.34, 1 Tl 3.39

Properties
DOS at the Fermi energy   19.3 states/eV per cell
Relative energy among the computed polymorphs   67 kJ/mol of formula units
Spin magnetization   0.000 μB per formula unit
Calculated volume   481.2 Å³ per cell
Formation energy from the elements   -0.087 eV per atom
Symmetry   Cmcm (63)
Uncorrected energy   -4.091 eV/atom


Tb2Tm3Tl: optimized geometry, GGA-PBE.

Cell lengths 4.8513, 4.8144, 7.8853 Å; angles 107.77, 90.00, 90.00 degrees
Last column: nearest neighbours and their distance in Å.
Positions (direct):
Tb: 0.0000 0.6620 0.3241  8 Tm 3.42-3.51, 2 Tl 3.42, 2 Tb 3.57
Tb: 0.0000 0.3380 0.6759  8 Tm 3.42-3.51, 2 Tl 3.42, 2 Tb 3.57
Tm: 0.5000 0.1688 0.3375  6 Tb 3.42-3.51, 4 Tm 3.43-3.50, 2 Tl 3.51
Tm: 0.5000 0.5000 0.0000  4 Tl 3.42, 4 Tb 3.44, 4 Tm 3.50
Tm: 0.5000 0.8312 0.6625  6 Tb 3.42-3.51, 4 Tm 3.43-3.50, 2 Tl 3.51
Tl: 0.0000 0.0000 0.0000  8 Tm 3.42-3.51, 4 Tb 3.42

Properties
DOS at the Fermi energy   6.4 states/eV per cell
Relative energy among the computed polymorphs   0 kJ/mol of formula units
Spin magnetization   0.000 μB per formula unit
Calculated volume   175.4 Å³ per cell
Formation energy from the elements   -0.104 eV per atom
Symmetry   Cmmm (65)
Uncorrected energy   -4.278 eV/atom


Tb5TmTl3: optimized geometry, GGA-PBE.

Cell lengths 6.7295, 9.3917, 9.3891 Å; angles 120.01, 90.00, 90.00 degrees
Last column: nearest neighbours and their distance in Å.
Positions (direct):
Tb: 0.0000 0.6667 0.3333  8 Tb 3.36-3.55, 6 Tl 3.56
Tb: 0.5000 0.3333 0.6667  8 Tb 3.36-3.55, 6 Tl 3.56
Tb: 0.0000 0.3333 0.6667  8 Tb 3.36-3.55, 6 Tl 3.56
Tb: 0.5000 0.6667 0.3333  8 Tb 3.36-3.55, 6 Tl 3.56
Tb: 0.7500 0.6658 0.6659  5 Tl 3.12-3.36
Tb: 0.7500 0.0000 0.3341  5 Tl 3.12-3.36
Tb: 0.7500 0.3341 0.0000  5 Tl 3.12-3.36
Tb: 0.2500 0.3342 0.3341  5 Tl 3.12-3.36
Tb: 0.2500 0.0000 0.6659  5 Tl 3.12-3.36
Tb: 0.2500 0.6659 0.0000  5 Tl 3.12-3.36
Tm: 0.0000 0.0000 0.0000  2 Tm 3.36, 6 Tl 3.53-3.54, 6 Tb 3.56
Tm: 0.5000 0.0000 0.0000  2 Tm 3.36, 6 Tl 3.53-3.54, 6 Tb 3.56
Tl: 0.7500 0.3310 0.3310  5 Tb 3.12-3.36
Tl: 0.7500 0.9999 0.6690  5 Tb 3.12-3.36
Tl: 0.7500 0.6688 0.0000  5 Tb 3.12-3.36
Tl: 0.2500 0.6690 0.6690  5 Tb 3.12-3.36
Tl: 0.2500 0.0001 0.3310  5 Tb 3.12-3.36
Tl: 0.2500 0.3312 0.0000  5 Tb 3.12-3.36

Properties
DOS at the Fermi energy   21.9 states/eV per cell
Spin magnetization   1.289 μB per formula unit
Calculated volume   513.9 Å³ per cell
Formation energy from the elements   -0.259 eV per atom
Symmetry   P6_3/mcm (193)
Uncorrected energy   -4.117 eV/atom


Tb3Tm7Tl2: optimized geometry, GGA-PBE.

Cell lengths 3.5701, 5.5823, 18.1938 Å; angles 93.21, 90.00, 90.00 degrees
Last column: nearest neighbours and their distance in Å.
Positions (direct):
Tb: 0.5000 0.5000 0.0000  10 Tm 3.31-3.66, 2 Tb 3.57
Tb: 0.0000 0.2268 0.3679  2 Tb 3.57, 4 Tl 3.58-3.60, 6 Tm 3.63-3.70
Tb: 0.0000 0.7732 0.6321  2 Tb 3.57, 4 Tl 3.58-3.60, 6 Tm 3.63-3.70
Tm: 0.5000 0.7423 0.4584  1 Tl 3.03, 2 Tm 3.17-3.18
Tm: 0.5000 0.2577 0.5416  1 Tl 3.03, 2 Tm 3.17-3.18
Tm: 0.0000 0.6703 0.1483  2 Tl 3.16, 5 Tm 3.32-3.35, 2 Tb 3.33
Tm: 0.0000 0.0000 0.0000  4 Tb 3.31, 8 Tm 3.35-3.63
Tm: 0.0000 0.3297 0.8517  2 Tl 3.16, 5 Tm 3.32-3.35, 2 Tb 3.33
Tm: 0.5000 0.8284 0.8312  8 Tm 3.32-3.63, 2 Tl 3.50-3.64, 1 Tb 3.66
Tm: 0.5000 0.1716 0.1688  8 Tm 3.32-3.63, 2 Tl 3.50-3.64, 1 Tb 3.66
Tl: 0.5000 0.7099 0.2915  3 Tm 3.03-3.16
Tl: 0.5000 0.2901 0.7085  3 Tm 3.03-3.16

Properties
DOS at the Fermi energy   12.0 states/eV per cell
Spin magnetization   0.000 μB per formula unit
Calculated volume   362.0 Å³ per cell
Formation energy from the elements   -0.021 eV per atom
Symmetry   P2/m (10)
Uncorrected energy   -4.181 eV/atom


TbTm5Tl6: optimized geometry, GGA-PBE.

Cell lengths 6.3945, 9.8429, 7.4312 Å; angles 48.53, 81.53, 77.15 degrees
Last column: nearest neighbours and their distance in Å.
Positions (direct):
Tb: 0.0000 0.0000 0.0000  6 Tl 3.23-3.24
Tm: 0.5000 0.1668 0.6663  6 Tl 3.19-3.22
Tm: 0.0000 0.3347 0.3307  6 Tl 3.21-3.22
Tm: 0.5000 0.5000 0.0000  6 Tl 3.20-3.21
Tm: 0.0000 0.6653 0.6693  6 Tl 3.21-3.22
Tm: 0.5000 0.8332 0.3337  6 Tl 3.19-3.22
Tl: 0.7480 0.0828 0.3364  5 Tm 3.19-3.22, 1 Tb 3.23
Tl: 0.2520 0.5808 0.3364  5 Tm 3.19-3.22, 1 Tb 3.23
Tl: 0.2541 0.2507 0.0000  5 Tm 3.20-3.21, 1 Tb 3.24
Tl: 0.7459 0.7493 0.0000  5 Tm 3.20-3.21, 1 Tb 3.24
Tl: 0.7480 0.4192 0.6636  5 Tm 3.19-3.22, 1 Tb 3.23
Tl: 0.2520 0.9172 0.6636  5 Tm 3.19-3.22, 1 Tb 3.23

Properties
DOS at the Fermi energy   10.4 states/eV per cell
Relative energy among the computed polymorphs   75 kJ/mol of formula units
Spin magnetization   0.000 μB per formula unit
Calculated volume   341.7 Å³ per cell
Formation energy from the elements   -0.235 eV per atom
Symmetry   C2/m (12)
Uncorrected energy   -3.667 eV/atom


TbTm8Tl6: optimized geometry, GGA-PBE.

Cell lengths 8.9721, 8.9721, 8.3078 Å; angles 57.32, 57.32, 60.00 degrees
Last column: nearest neighbours and their distance in Å.
Positions (direct):
Tb: 0.0000 0.0000 0.0000  6 Tl 3.27
Tm: 0.5571 0.2236 0.3293  5 Tl 3.08-3.41
Tm: 0.7764 0.1099 0.6707  5 Tl 3.08-3.41
Tm: 0.1099 0.4429 0.6707  5 Tl 3.08-3.41
Tm: 0.6668 0.6668 0.9997  6 Tl 3.24
Tm: 0.3332 0.3332 0.0003  6 Tl 3.24
Tm: 0.8901 0.5571 0.3293  5 Tl 3.08-3.41
Tm: 0.2236 0.8901 0.3293  5 Tl 3.08-3.41
Tm: 0.4429 0.7764 0.6707  5 Tl 3.08-3.41
Tl: 0.4010 0.0656 0.8035  7 Tm 3.08-3.41, 1 Tb 3.27
Tl: 0.9344 0.2701 0.1965  7 Tm 3.08-3.41, 1 Tb 3.27
Tl: 0.2701 0.5990 0.1965  7 Tm 3.08-3.41, 1 Tb 3.27
Tl: 0.7299 0.4010 0.8035  7 Tm 3.08-3.41, 1 Tb 3.27
Tl: 0.0656 0.7299 0.8035  7 Tm 3.08-3.41, 1 Tb 3.27
Tl: 0.5990 0.9344 0.1965  7 Tm 3.08-3.41, 1 Tb 3.27

Properties
DOS at the Fermi energy   17.2 states/eV per cell
Spin magnetization   0.000 μB per formula unit
Calculated volume   452.8 Å³ per cell
Formation energy from the elements   -0.110 eV per atom
Symmetry   R-3 (148)
Uncorrected energy   -3.750 eV/atom


Tb5Tm4Tl4: optimized geometry, GGA-PBE.

Cell lengths 5.0262, 9.0334, 9.0334 Å; angles 85.56, 73.85, 73.85 degrees
Last column: nearest neighbours and their distance in Å.
Positions (direct):
Tb: 0.6886 0.9135 0.7094  3 Tl 3.19-3.25
Tb: 0.3114 0.0865 0.2906  3 Tl 3.19-3.25
Tb: 0.0000 0.0000 0.0000  4 Tl 3.16
Tb: 0.6021 0.7094 0.0865  3 Tl 3.19-3.25
Tb: 0.3979 0.2906 0.9135  3 Tl 3.19-3.25
Tm: 0.9046 0.4937 0.6971  3 Tl 3.12-3.25, 5 Tm 3.42-3.49
Tm: 0.6017 0.3029 0.4937  3 Tl 3.12-3.25, 5 Tm 3.42-3.49
Tm: 0.0954 0.5063 0.3029  3 Tl 3.12-3.25, 5 Tm 3.42-3.49
Tm: 0.3983 0.6971 0.5063  3 Tl 3.12-3.25, 5 Tm 3.42-3.49
Tl: 0.7632 0.3376 0.1360  3 Tm 3.12-3.25, 4 Tb 3.16-3.25
Tl: 0.2368 0.6624 0.8640  3 Tm 3.12-3.25, 4 Tb 3.16-3.25
Tl: 0.8992 0.8640 0.3376  3 Tm 3.12-3.25, 4 Tb 3.16-3.25
Tl: 0.1008 0.1360 0.6624  3 Tm 3.12-3.25, 4 Tb 3.16-3.25

Properties
DOS at the Fermi energy   10.0 states/eV per cell
Spin magnetization   0.000 μB per formula unit
Calculated volume   378.4 Å³ per cell
Formation energy from the elements   -0.250 eV per atom
Symmetry   I4/m (87)
Uncorrected energy   -4.135 eV/atom


Tb6TmTl5: optimized geometry, GGA-PBE.

Cell lengths 5.0074, 8.8587, 9.1473 Å; angles 118.96, 105.89, 90.00 degrees
Last column: nearest neighbours and their distance in Å.
Positions (direct):
Tl: 0.6476 0.1476 0.2952  8 Tb 3.29-3.48, 2 Tm 3.36, 2 Tl 3.65
Tl: 0.3223 0.3223 0.6447  8 Tb 3.27-3.38, 2 Tl 3.65
Tl: 0.0000 0.5000 0.0000  8 Tb 3.22-3.33
Tl: 0.6777 0.6777 0.3553  8 Tb 3.27-3.38, 2 Tl 3.65
Tl: 0.3524 0.8524 0.7048  8 Tb 3.29-3.48, 2 Tm 3.36, 2 Tl 3.65
Tm: 0.0000 0.0000 0.0000  4 Tl 3.36, 8 Tb 3.47-3.48
Tb: 0.8298 0.5670 0.6596  7 Tl 3.27-3.48, 1 Tm 3.48, 4 Tb 3.49-3.60
Tb: 0.8298 0.0926 0.6596  7 Tl 3.27-3.48, 1 Tm 3.48, 4 Tb 3.49-3.60
Tb: 0.5000 0.7286 0.0000  6 Tl 3.22-3.38, 2 Tm 3.47, 4 Tb 3.60
Tb: 0.5000 0.2714 0.0000  6 Tl 3.22-3.38, 2 Tm 3.47, 4 Tb 3.60
Tb: 0.1702 0.9074 0.3404  7 Tl 3.27-3.48, 1 Tm 3.48, 4 Tb 3.49-3.60
Tb: 0.1702 0.4330 0.3404  7 Tl 3.27-3.48, 1 Tm 3.48, 4 Tb 3.49-3.60

Properties
DOS at the Fermi energy   13.0 states/eV per cell
Relative energy among the computed polymorphs   0 kJ/mol of formula units
Spin magnetization   0.002 μB per formula unit
Calculated volume   337.2 Å³ per cell
Formation energy from the elements   -0.280 eV per atom
Symmetry   Immm (71)
Uncorrected energy   -3.953 eV/atom


Tb3Tm4Tl: optimized geometry, GGA-PBE.

Cell lengths 6.1299, 6.9682, 11.1298 Å; angles 90.00, 90.00, 90.00 degrees
Last column: nearest neighbours and their distance in Å.
Positions (direct):
Tb: 0.6281 0.6299 0.0000  6 Tm 3.33-3.72, 4 Tb 3.40-3.50, 2 Tl 3.44-3.69
Tb: 0.9738 0.6162 0.2389  2 Tl 3.35-3.51, 4 Tb 3.40-3.50, 6 Tm 3.43-3.65
Tb: 0.4738 0.3838 0.2611  2 Tl 3.35-3.51, 4 Tb 3.40-3.50, 6 Tm 3.43-3.65
Tb: 0.1281 0.3701 0.5000  6 Tm 3.33-3.72, 4 Tb 3.40-3.50, 2 Tl 3.44-3.69
Tb: 0.4738 0.3838 0.7389  2 Tl 3.35-3.51, 4 Tb 3.40-3.50, 6 Tm 3.43-3.65
Tb: 0.9738 0.6162 0.7611  2 Tl 3.35-3.51, 4 Tb 3.40-3.50, 6 Tm 3.43-3.65
Tm: 0.1647 0.8782 0.0000  4 Tb 3.33-3.72, 6 Tm 3.36-3.64, 2 Tl 3.42-3.55
Tm: 0.6432 0.1286 0.0000  6 Tm 3.41-3.64, 2 Tl 3.44-3.54, 4 Tb 3.48-3.56
Tm: 0.9898 0.1235 0.2413  1 Tl 3.33, 6 Tm 3.36-3.52, 5 Tb 3.43-3.65
Tm: 0.4898 0.8765 0.2587  1 Tl 3.33, 6 Tm 3.36-3.52, 5 Tb 3.43-3.65
Tm: 0.1432 0.8714 0.5000  6 Tm 3.41-3.64, 2 Tl 3.44-3.54, 4 Tb 3.48-3.56
Tm: 0.6647 0.1218 0.5000  4 Tb 3.33-3.72, 6 Tm 3.36-3.64, 2 Tl 3.42-3.55
Tm: 0.4898 0.8765 0.7413  1 Tl 3.33, 6 Tm 3.36-3.52, 5 Tb 3.43-3.65
Tm: 0.9898 0.1235 0.7587  1 Tl 3.33, 6 Tm 3.36-3.52, 5 Tb 3.43-3.65
Tl: 0.1521 0.3684 0.0000  6 Tm 3.33-3.55, 6 Tb 3.35-3.69
Tl: 0.6521 0.6316 0.5000  6 Tm 3.33-3.55, 6 Tb 3.35-3.69

Properties
DOS at the Fermi energy   17.8 states/eV per cell
Relative energy among the computed polymorphs   0 kJ/mol of formula units
Spin magnetization   0.000 μB per formula unit
Calculated volume   475.4 Å³ per cell
Formation energy from the elements   -0.075 eV per atom
Symmetry   Pmn2_1 (31)
Uncorrected energy   -4.343 eV/atom